Entry 1:
La5Pr8Pu after structural relaxation, computed with PBE.

Cell: 8.988 8.667 8.988 Å, 112.37 121.10 96.94°
Last column: magnetic moment on the atom in μB.
Positions (direct):
La1 0.082 0.041 0.331  -0.03
La2 0.290 0.959 0.041  -0.03
La3 0.825 0.781 0.690  0.03
La4 0.537 0.000 0.537  0.01
La5 0.909 0.219 0.044  0.03
Pu1 0.191 0.500 0.691  -5.56
Pr1 0.091 0.163 0.750  -0.04
Pr2 0.484 0.616 0.182  -0.01
Pr3 0.061 0.694 0.436  -0.06
Pr4 0.565 0.384 0.868  -0.01
Pr5 0.386 0.434 0.433  -0.03
Pr6 0.742 0.306 0.367  -0.06
Pr7 0.588 0.837 0.929  -0.04
Pr8 0.999 0.566 0.952  -0.03

Summary:
magnetization = 6.38 μB per formula unit
VASP energy = -5.3272 eV per atom
calculated formation energy = 0.187 eV per atom
density of states at the Fermi level = 1.710 states/eV/atom



Entry 2:
FeNi2Ru after structural relaxation, computed with PBE.

Cell: 4.091 4.091 4.091 Å, 60.00 60.00 60.00°
Last column: magnetic moment on the atom in μB.
Positions (direct):
Fe1 0.500 0.500 0.500  2.71
Ni1 0.000 0.000 0.000  -0.58
Ni2 0.250 0.250 0.250  0.30
Ru1 0.750 0.750 0.750  -0.20

Summary:
magnetization = 2.22 μB per formula unit
VASP energy = -7.1547 eV per atom
calculated formation energy = 0.171 eV per atom
density of states at the Fermi level = 1.091 states/eV/atom



Entry 3:
Sr2LiAs after structural relaxation, computed with PBE.

Cell: 4.584 4.584 9.096 Å, 75.62 75.62 59.84°
Positions (direct):
Sr1 0.023 0.023 0.933
Sr2 0.477 0.477 0.567
As1 0.750 0.750 0.750
Li1 0.250 0.250 0.250

Summary:
magnetization = 0.00 μB per formula unit
VASP energy = -3.0455 eV per atom
calculated formation energy = -0.564 eV per atom
density of states at the Fermi level = 0.249 states/eV/atom



Entry 4:
BaLaOs2 after structural relaxation, computed with PBE.

Cell: 11.389 11.389 11.389 Å, 15.56 15.56 15.56°
Last column: magnetic moment on the atom in μB.
Positions (direct):
Os1 0.989 0.989 0.989  0.00
Os2 0.265 0.265 0.265  0.02
Ba1 0.514 0.514 0.514  -0.01
La1 0.733 0.733 0.733  -0.27

Summary:
E above lowest polymorph = 95.1 kJ per mole of atoms
magnetization = 0.41 μB per formula unit
VASP energy = -6.2470 eV per atom
calculated formation energy = 1.080 eV per atom
density of states at the Fermi level = 1.139 states/eV/atom



Entry 5:
K8Na6Cd after structural relaxation, computed with PBE.

Cell: 10.120 10.120 10.120 Å, 68.01 68.01 68.01°
Positions (direct):
Na1 0.102 0.420 0.640
Na2 0.420 0.640 0.102
Na3 0.580 0.360 0.898
Na4 0.640 0.102 0.420
Na5 0.898 0.580 0.360
Na6 0.360 0.898 0.580
K1 0.728 0.728 0.728
K2 0.351 0.106 0.860
K3 0.860 0.351 0.106
K4 0.140 0.649 0.894
K5 0.649 0.894 0.140
K6 0.894 0.140 0.649
K7 0.106 0.860 0.351
K8 0.272 0.272 0.272
Cd1 0.000 0.000 0.000

Summary:
magnetization = 0.00 μB per formula unit
VASP energy = -1.1037 eV per atom
calculated formation energy = 0.070 eV per atom
density of states at the Fermi level = 0.679 states/eV/atom



Entry 6:
PrHfBi3 after structural relaxation, computed with PBE.

Cell: 6.535 6.686 13.838 Å, 90.00 90.00 90.00°
Positions (direct):
Pr1 0.750 0.489 0.684
Pr2 0.750 0.989 0.316
Pr3 0.250 0.011 0.684
Pr4 0.250 0.511 0.316
Bi1 0.250 0.013 0.239
Bi2 0.250 0.619 0.078
Bi3 0.500 0.250 0.497
Bi4 0.750 0.487 0.239
Bi5 0.250 0.119 0.922
Bi6 0.500 0.750 0.503
Bi7 0.750 0.987 0.761
Bi8 0.250 0.513 0.761
Bi9 0.000 0.750 0.503
Bi10 0.750 0.381 0.922
Bi11 0.750 0.881 0.078
Bi12 0.000 0.250 0.497
Hf1 0.500 0.750 0.908
Hf2 0.500 0.250 0.092
Hf3 0.000 0.750 0.908
Hf4 0.000 0.250 0.092

Summary:
magnetization = 0.00 μB per formula unit
VASP energy = -5.7468 eV per atom
calculated formation energy = -0.472 eV per atom
density of states at the Fermi level = 0.546 states/eV/atom



> The highest calculated formation energy belongs to which entry?

BaLaOs2



> Among the records above, which one has the lowest calculated formation energy?

Sr2LiAs



> What is the density of states at the Fermi level in the sixth record?

0.546 states/eV/atom